DFT (PBE) results for AgTe after structural relaxation.

```
AgTe
1.0
3.1643 0.0789 0.0000
-0.5789 3.1119 0.0000
0.0000 0.0000 10.2570
Te Ag
2 2
Cartesian
0.0000 0.0000 5.7249
1.2927 1.5954 1.9679
0.0000 0.0000 9.9656
1.2927 1.5954 7.9841
```

The uncorrected formation energy is 114 meV/atom. The total magnetic moment is 0.0 μB/f.u.